This record from Alexandria describes an optimized crystal structure of In3GaCl. The functional is GGA-PBE.

Cell lengths 5.661, 5.661, 5.661 Å; angles 90.00, 90.00, 90.00 degrees
Element x y z (fractional)
In 0.000 0.000 0.500
In 0.000 0.500 0.000
In 0.500 0.000 0.000
Ga 0.500 0.500 0.500
Cl 0.000 0.000 0.000

- total magnetic moment (μB per atom) = 0.000
- E above lowest polymorph (meV per atom) = 259
- uncorrected formation energy (eV/atom) = 0.246

This record from Alexandria describes an optimized crystal structure of InGa2Cl. The functional is GGA-PBE.

Cell lengths 5.077, 5.077, 5.077 Å; angles 60.00, 60.00, 60.00 degrees
Element x y z (fractional)
In 0.000 0.000 0.000
Ga 0.250 0.250 0.250
Ga 0.750 0.750 0.750
Cl 0.500 0.500 0.500

- total magnetic moment (μB per atom) = 0.000
- E above lowest polymorph (meV per atom) = 15
- uncorrected formation energy (eV/atom) = -0.043

This record from Alexandria describes an optimized crystal structure of InGaCl2. The functional is GGA-PBE.

Cell lengths 14.212, 4.255, 8.781 Å; angles 90.00, 90.00, 90.00 degrees
Element x y z (fractional)
In 0.153 0.250 0.045
In 0.347 0.750 0.545
In 0.653 0.250 0.455
In 0.847 0.750 0.955
Ga 0.007 0.250 0.616
Ga 0.493 0.750 0.116
Ga 0.507 0.250 0.884
Ga 0.993 0.750 0.384
Cl 0.048 0.750 0.814
Cl 0.160 0.750 0.299
Cl 0.340 0.250 0.799
Cl 0.452 0.250 0.314
Cl 0.548 0.750 0.686
Cl 0.660 0.750 0.201
Cl 0.840 0.250 0.701
Cl 0.952 0.250 0.186

- total magnetic moment (μB per atom) = 0.000
- E above lowest polymorph (meV per atom) = 5
- uncorrected formation energy (eV/atom) = -0.744

This record from Alexandria describes an optimized crystal structure of InGa2Cl. The functional is GGA-PBE.

Cell lengths 7.990, 7.990, 7.990 Å; angles 135.05, 135.05, 65.45 degrees
Element x y z (fractional)
In 0.000 0.000 0.000
In 0.750 0.250 0.500
Ga 0.111 0.625 0.986
Ga 0.375 0.361 0.486
Ga 0.639 0.125 0.014
Ga 0.875 0.889 0.514
Cl 0.250 0.750 0.500
Cl 0.500 0.500 0.000

- total magnetic moment (μB per atom) = 0.000
- E above lowest polymorph (meV per atom) = 0
- uncorrected formation energy (eV/atom) = -0.058

This record from Alexandria describes an optimized crystal structure of InGaCl3. The functional is GGA-PBE.

Cell lengths 7.556, 8.621, 12.188 Å; angles 90.00, 122.99, 90.00 degrees
Element x y z (fractional)
In 0.237 0.117 0.258
In 0.237 0.383 0.758
In 0.763 0.617 0.242
In 0.763 0.883 0.742
Ga 0.136 0.595 0.063
Ga 0.136 0.905 0.563
Ga 0.864 0.095 0.437
Ga 0.864 0.405 0.937
Cl 0.006 0.186 0.913
Cl 0.006 0.314 0.413
Cl 0.313 0.674 0.971
Cl 0.313 0.826 0.471
Cl 0.395 0.515 0.265
Cl 0.395 0.985 0.765
Cl 0.605 0.015 0.235
Cl 0.605 0.485 0.735
Cl 0.687 0.174 0.529
Cl 0.687 0.326 0.029
Cl 0.994 0.686 0.587
Cl 0.994 0.814 0.087

- total magnetic moment (μB per atom) = 0.000
- uncorrected formation energy (eV/atom) = -0.987

This record from Alexandria describes an optimized crystal structure of In2GaCl3. The functional is GGA-PBE.

Cell lengths 8.233, 8.233, 6.392 Å; angles 90.00, 90.00, 70.36 degrees
Element x y z (fractional)
In 0.036 0.690 0.500
In 0.310 0.964 0.500
In 0.690 0.036 0.000
In 0.964 0.310 0.000
Ga 0.313 0.687 0.911
Ga 0.687 0.313 0.411
Cl 0.036 0.346 0.554
Cl 0.346 0.036 0.054
Cl 0.410 0.590 0.286
Cl 0.590 0.410 0.786
Cl 0.654 0.964 0.554
Cl 0.964 0.654 0.054

- total magnetic moment (μB per atom) = 0.000
- E above lowest polymorph (meV per atom) = 34
- uncorrected formation energy (eV/atom) = -0.744